Below is Li3SnO at its PBEsol-relaxed geometry, with properties calculated at the SCAN level.

Calculated values
Total moment = 0.0 μB per formula unit
E_form (uncorrected) = -0.996 eV per atom
Calculated total energy = -54.30 eV for the cell shown
Mass density = 3.94 Mg/m³

Cell: 4.032 4.032 4.032 Å, 90.00 90.00 90.00°
Element x y z (fractional)
Sn (0.500, 0.500, 0.500)
O (0.000, 0.000, 0.000)
Li (0.500, 0.000, 0.000)
Li (0.000, 0.500, 0.000)
Li (0.000, 0.000, 0.500)

Below is InMoPt2 at its PBEsol-relaxed geometry, with properties calculated at the SCAN level.

Calculated values
Total moment = 0.0 μB per formula unit
Calculated total energy = -208.98 eV for the cell shown
Mass density = 15.52 Mg/m³
Energy of formation = -79.4 meV/atom

Cell: 3.940 3.940 4.141 Å, 90.00 90.00 90.00°
Element x y z (fractional)
In (0.500, 0.500, 0.500)
Mo (0.000, 0.000, 0.500)
Pt (0.500, 0.000, 0.000)
Pt (0.000, 0.500, 0.000)

Below is SrZnOs2 at its PBEsol-relaxed geometry, with properties calculated at the SCAN level.

Calculated values
Total moment = 0.0 μB per formula unit
Calculated total energy = -176.39 eV for the cell shown
Mass density = 13.06 Mg/m³
Energy of formation = 788.9 meV/atom

Cell: 2.826 2.826 9.944 Å, 81.83 81.83 60.00°
Element x y z (fractional)
Zn (0.262, 0.262, 0.215)
Os (0.002, 0.002, 0.993)
Sr (0.498, 0.498, 0.505)
Os (0.738, 0.738, 0.787)